# PBE with a Hubbard U Be2VHgO, relaxed
data_Be2VHgO
_chemical_formula_sum 'Be2 V1 Hg1 O1'
_cell_length_a 4.5059
_cell_length_b 5.1881
_cell_length_c 4.5059
_cell_angle_alpha 90.00
_cell_angle_beta 90.00
_cell_angle_gamma 90.00
_symmetry_space_group_name_H-M 'P 1'
_symmetry_Int_Tables_number 1
loop_
_symmetry_equiv_pos_as_xyz
'x,y,z'
loop_
_atom_site_label
_atom_site_type_symbol
_atom_site_fract_x
_atom_site_fract_y
_atom_site_fract_z
_atom_site_occupancy
Be1 Be 0.0000 0.0000 0.5000 1
Be2 Be 0.5000 0.0000 0.0000 1
Hg1 Hg 0.0000 0.5000 0.0000 1
O1 O 0.5000 0.5000 0.5000 1
V1 V 0.0000 0.0000 0.0000 1
# **E**: -2.094 eV per atom